No. 1
! ScTaSe2 GGA-PBE optimized geometry; values from VASP
! M_tot = 0.000 μB per atom
! Fermi-level density of states = 2.9 states/eV/cell
! Formation energy from raw total energies = -673 meV per atom
! E = -6.961 eV/atom
! Calculated density = 8.02 g/cm3
&SYSTEM
  ibrav = 0, nat = 4, ntyp = 3
/
ATOMIC_SPECIES
Sc 44.96 Sc.upf
Ta 180.95 Ta.upf
Se 78.96 Se.upf
ATOMIC_POSITIONS angstrom
Sc 0.000 0.000 0.000
Ta 1.667 0.000 3.554
Se 1.667 1.676 1.555
Se 1.667 1.676 5.554
CELL_PARAMETERS angstrom
3.334 0.000 0.000
0.000 3.352 0.000
0.000 0.000 7.109


No. 2
! SrSc2Co2 GGA-PBE optimized geometry; values from VASP
! M_tot = 0.000 μB per atom
! ΔE_f = 0.055 eV per atom
! Fermi-level density of states = 6.8 states/eV/cell
! E = -5.656 eV/atom
! Calculated density = 5.00 g/cm3
&SYSTEM
  ibrav = 0, nat = 10, ntyp = 3
/
ATOMIC_SPECIES
Sr 87.62 Sr.upf
Sc 44.96 Sc.upf
Co 58.93 Co.upf
ATOMIC_POSITIONS angstrom
Sr 0.000 0.000 0.000
Sr 3.927 3.927 0.000
Sc 1.074 2.853 1.590
Sc 2.853 6.779 1.590
Sc 5.001 1.074 1.590
Sc 6.779 5.001 1.590
Co 1.120 5.047 0.000
Co 2.807 1.120 0.000
Co 5.047 6.733 0.000
Co 6.733 2.807 0.000
CELL_PARAMETERS angstrom
7.853 0.000 0.000
0.000 7.853 0.000
0.000 0.000 3.180


No. 3
! Ba2LaAs GGA-PBE optimized geometry; values from VASP
! M_tot = 0.001 μB per atom
! ΔE_f = -0.369 eV per atom
! Fermi-level density of states = 4.3 states/eV/cell
! E = -3.725 eV/atom
! Calculated density = 4.85 g/cm3
&SYSTEM
  ibrav = 0, nat = 4, ntyp = 3
/
ATOMIC_SPECIES
Ba 137.33 Ba.upf
La 138.91 La.upf
As 74.92 As.upf
ATOMIC_POSITIONS angstrom
Ba 0.000 0.000 1.744
Ba 0.000 0.000 8.479
La 2.022 2.022 5.112
As 2.022 2.022 0.000
CELL_PARAMETERS angstrom
4.045 0.000 0.000
0.000 4.045 0.000
0.000 0.000 10.224


No. 4
! V3Ir3Pt2 GGA-PBE optimized geometry; values from VASP
! M_tot = 0.000 μB per atom
! ΔE_f = -0.475 eV per atom
! Fermi-level density of states = 6.1 states/eV/cell
! E = -8.728 eV/atom
! Calculated density = 16.27 g/cm3
&SYSTEM
  ibrav = 0, nat = 8, ntyp = 3
/
ATOMIC_SPECIES
V 50.94 V.upf
Ir 192.22 Ir.upf
Pt 195.08 Pt.upf
ATOMIC_POSITIONS angstrom
V 0.000 0.000 0.000
V 1.884 0.000 5.937
V 0.000 1.934 1.904
Ir 1.884 0.000 1.900
Ir 0.000 0.000 7.841
Ir 0.000 1.934 5.940
Pt 0.000 0.000 3.962
Pt 0.000 0.000 11.719
CELL_PARAMETERS angstrom
-1.884 1.934 7.841
1.884 -1.934 7.841
1.884 1.934 -7.841


No. 5
! LiCu2B2H8Cl2O8 GGA-PBE optimized geometry; values from VASP
! M_tot = 0.044 μB per atom
! Fermi-level density of states = 6.7 states/eV/cell
! E = -5.341 eV/atom
! Calculated density = 2.73 g/cm3
&SYSTEM
  ibrav = 0, nat = 23, ntyp = 6
/
ATOMIC_SPECIES
Li 6.94 Li.upf
Cu 63.55 Cu.upf
B 10.81 B.upf
H 1.01 H.upf
Cl 35.45 Cl.upf
O 16.00 O.upf
ATOMIC_POSITIONS angstrom
Li 0.000 0.000 0.000
Cu 0.000 3.249 3.366
Cu 3.249 0.000 1.854
B 0.000 0.000 2.610
B 3.249 3.249 2.610
H 1.106 5.062 1.654
H 1.436 1.106 3.567
H 2.134 2.297 1.199
H 2.297 4.363 4.021
H 4.200 2.134 4.021
H 4.363 4.200 1.199
H 5.062 5.391 3.567
H 5.391 1.436 1.654
Cl 0.000 3.249 0.790
Cl 3.249 0.000 4.430
O 0.453 1.105 3.496
O 1.105 6.044 1.724
O 2.077 3.592 3.455
O 2.906 2.077 1.765
O 3.592 4.421 1.765
O 4.421 2.906 3.455
O 5.392 0.453 1.724
O 6.044 5.392 3.496
CELL_PARAMETERS angstrom
6.498 0.000 0.000
0.000 6.498 0.000
0.000 0.000 5.220


No. 6
! ScSi2As GGA-PBE optimized geometry; values from VASP
! M_tot = 0.000 μB per atom
! Fermi-level density of states = 2.4 states/eV/cell
! Formation energy from raw total energies = 107 meV per atom
! E = -5.350 eV/atom
! Calculated density = 4.22 g/cm3
&SYSTEM
  ibrav = 0, nat = 4, ntyp = 3
/
ATOMIC_SPECIES
Sc 44.96 Sc.upf
Si 28.09 Si.upf
As 74.92 As.upf
ATOMIC_POSITIONS angstrom
Sc 0.000 0.000 0.000
Si 1.506 1.506 1.928
Si 1.506 1.506 5.702
As 0.000 0.000 3.815
CELL_PARAMETERS angstrom
3.012 0.000 0.000
0.000 3.012 0.000
0.000 0.000 7.630


No. 7
! Pu3MgPt3 GGA-PBE optimized geometry; values from VASP
! M_tot = 0.870 μB per atom
! ΔE_f = -0.561 eV per atom
! Fermi-level density of states = 64.4 states/eV/cell
! E = -9.520 eV/atom
! Calculated density = 13.81 g/cm3
&SYSTEM
  ibrav = 0, nat = 14, ntyp = 3
/
ATOMIC_SPECIES
Pu 244.00 Pu.upf
Mg 24.30 Mg.upf
Pt 195.08 Pt.upf
ATOMIC_POSITIONS angstrom
Pu 4.331 3.538 0.000
Pu 4.309 2.549 3.593
Pu 3.175 0.000 0.885
Pu 5.444 0.000 6.301
Pu 4.309 -2.549 3.593
Pu 4.331 -3.538 0.000
Mg 2.046 0.000 4.677
Mg 6.573 0.000 2.509
Pt 2.224 2.430 5.638
Pt 0.739 0.000 2.327
Pt 2.224 -2.430 5.638
Pt 6.395 2.430 1.548
Pt 7.880 0.000 4.859
Pt 6.395 -2.430 1.548
CELL_PARAMETERS angstrom
4.331 -5.182 0.000
4.331 5.182 0.000
-0.044 0.000 7.186


No. 8
! NbI GGA-PBE optimized geometry; values from VASP
! M_tot = 0.381 μB per atom
! Fermi-level density of states = 15.8 states/eV/cell
! Formation energy from raw total energies = 1298 meV per atom
! E = -4.512 eV/atom
! Calculated density = 4.76 g/cm3
&SYSTEM
  ibrav = 0, nat = 12, ntyp = 2
/
ATOMIC_SPECIES
Nb 92.91 Nb.upf
I 126.90 I.upf
ATOMIC_POSITIONS angstrom
Nb 0.000 1.929 3.859
Nb 0.000 5.788 3.859
Nb 1.929 3.859 0.000
Nb 3.859 0.000 1.929
Nb 3.859 0.000 5.788
Nb 5.788 3.859 0.000
I 0.000 3.859 1.929
I 0.000 3.859 5.788
I 1.929 0.000 3.859
I 3.859 1.929 0.000
I 3.859 5.788 0.000
I 5.788 0.000 3.859
CELL_PARAMETERS angstrom
7.718 0.000 0.000
0.000 7.718 0.000
0.000 0.000 7.718


No. 9
! Ta2Mo3 GGA-PBE optimized geometry; values from VASP
! M_tot = 0.000 μB per atom
! ΔE_f = -0.184 eV per atom
! Fermi-level density of states = 5.7 states/eV/cell
! E = -11.424 eV/atom
! Calculated density = 12.97 g/cm3
&SYSTEM
  ibrav = 0, nat = 10, ntyp = 2
/
ATOMIC_SPECIES
Ta 180.95 Ta.upf
Mo 95.94 Mo.upf
ATOMIC_POSITIONS angstrom
Ta 0.000 0.000 1.619
Ta 0.000 0.000 4.847
Ta 0.000 0.000 11.234
Ta 0.000 0.000 14.462
Mo 0.000 0.000 8.040
Mo 1.608 1.608 0.000
Mo 1.608 1.608 3.247
Mo 1.608 1.608 6.489
Mo 1.608 1.608 9.592
Mo 1.608 1.608 12.834
CELL_PARAMETERS angstrom
3.216 0.000 0.000
0.000 3.216 0.000
0.000 0.000 16.081


No. 10
! AgRuPt2 GGA-PBE optimized geometry; values from VASP
! M_tot = 0.000 μB per atom
! ΔE_f = 0.242 eV per atom
! Fermi-level density of states = 5.5 states/eV/cell
! E = -5.811 eV/atom
! Calculated density = 15.47 g/cm3
&SYSTEM
  ibrav = 0, nat = 4, ntyp = 3
/
ATOMIC_SPECIES
Ag 107.87 Ag.upf
Ru 101.07 Ru.upf
Pt 195.08 Pt.upf
ATOMIC_POSITIONS angstrom
Ag 0.000 0.000 0.000
Ru 0.000 2.380 2.314
Pt 1.379 0.000 2.629
Pt 0.000 0.000 5.011
CELL_PARAMETERS angstrom
-1.379 2.380 4.898
1.379 -2.380 4.898
1.379 2.380 -4.898